1.
Material: Sr3Al4
Method: DFT, PBE
State: relaxed

Lattice parameters (Å, degrees): 4.5571 6.4358 14.9174 90.00 90.00 110.73
Last column: nearest neighbours and their distance in Å.
Sites, in units of the cell vectors:
Sr  0.7265  0.4530  0.1022  7 Al 3.37-3.64
Sr  0.2759  0.5517  0.8985  7 Al 3.37-3.64
Sr  0.7264  0.4529  0.3985  7 Al 3.37-3.64
Sr  0.2758  0.5516  0.6022  7 Al 3.37-3.64
Sr  0.0245  0.0490  0.2503  9 Al 3.35-3.74
Sr  0.9778  0.9556  0.7503  9 Al 3.35-3.74
Al  0.3210  0.6419  0.2504  2 Al 2.79
Al  0.6814  0.3627  0.7504  2 Al 2.79
Al  0.4382  0.8763  0.0893  4 Al 2.74-3.06
Al  0.0012  0.0024  0.0003  4 Al 2.74
Al  0.4380  0.8761  0.4114  4 Al 2.74-3.06
Al  0.5643  0.1285  0.9114  4 Al 2.74-3.06
Al  0.0011  0.0023  0.5003  4 Al 2.74
Al  0.5642  0.1283  0.5893  4 Al 2.74-3.06

Results
formation enthalpy at 0 K: -168.9 meV per atom

2.
Material: SrAl
Method: DFT, PBE
State: relaxed

Lattice parameters (Å, degrees): 9.8860 16.3206 6.2149 90.00 90.00 90.00
Last column: nearest neighbours and their distance in Å.
Sites, in units of the cell vectors:
Sr  0.3279  0.0000  0.0000  4 Al 3.29-3.49, 3 Sr 3.40-3.47
Sr  0.6721  0.0000  0.0000  4 Al 3.29-3.49, 3 Sr 3.40-3.47
Sr  0.9221  0.7500  0.2500  4 Al 3.29-3.49, 3 Sr 3.40-3.47
Sr  0.5779  0.7500  0.2500  4 Al 3.29-3.49, 3 Sr 3.40-3.47
Sr  0.3279  0.5000  0.5000  4 Al 3.29-3.49, 3 Sr 3.40-3.47
Sr  0.6721  0.5000  0.5000  4 Al 3.29-3.49, 3 Sr 3.40-3.47
Sr  0.9221  0.2500  0.7500  4 Al 3.29-3.49, 3 Sr 3.40-3.47
Sr  0.5779  0.2500  0.7500  4 Al 3.29-3.49, 3 Sr 3.40-3.47
Sr  0.8279  0.0000  0.5000  4 Al 3.29-3.49, 3 Sr 3.40-3.47
Sr  0.1721  0.0000  0.5000  4 Al 3.29-3.49, 3 Sr 3.40-3.47
Sr  0.4221  0.7500  0.7500  4 Al 3.29-3.49, 3 Sr 3.40-3.47
Sr  0.0779  0.7500  0.7500  4 Al 3.29-3.49, 3 Sr 3.40-3.47
Sr  0.8279  0.5000  0.0000  4 Al 3.29-3.49, 3 Sr 3.40-3.47
Sr  0.1721  0.5000  0.0000  4 Al 3.29-3.49, 3 Sr 3.40-3.47
Sr  0.4221  0.2500  0.2500  4 Al 3.29-3.49, 3 Sr 3.40-3.47
Sr  0.0779  0.2500  0.2500  4 Al 3.29-3.49, 3 Sr 3.40-3.47
Al  0.0000  0.9214  0.0000  1 Al 2.57
Al  0.0000  0.0786  0.0000  1 Al 2.57
Al  0.2500  0.8286  0.2500  1 Al 2.57
Al  0.2500  0.6714  0.2500  1 Al 2.57
Al  0.0000  0.4214  0.5000  1 Al 2.57
Al  0.0000  0.5786  0.5000  1 Al 2.57
Al  0.2500  0.3286  0.7500  1 Al 2.57
Al  0.2500  0.1714  0.7500  1 Al 2.57
Al  0.5000  0.9214  0.5000  1 Al 2.57
Al  0.5000  0.0786  0.5000  1 Al 2.57
Al  0.7500  0.8286  0.7500  1 Al 2.57
Al  0.7500  0.6714  0.7500  1 Al 2.57
Al  0.5000  0.4214  0.0000  1 Al 2.57
Al  0.5000  0.5786  0.0000  1 Al 2.57
Al  0.7500  0.3286  0.2500  1 Al 2.57
Al  0.7500  0.1714  0.2500  1 Al 2.57

Results
formation enthalpy at 0 K: 12.0 meV per atom

3.
Material: SrAl
Method: DFT, PBE
State: relaxed

Lattice parameters (Å, degrees): 3.8954 3.8954 10.3823 90.00 90.00 120.00
Last column: nearest neighbours and their distance in Å.
Sites, in units of the cell vectors:
Sr  0.0000  0.0000  0.0000  6 Al 3.43
Sr  0.0000  0.0000  0.5000  6 Al 3.43
Al  0.3333  0.6667  0.2500  6 Sr 3.43
Al  0.6667  0.3333  0.7500  6 Sr 3.43

Results
formation enthalpy at 0 K: 211.5 meV per atom

4.
Material: SrAl3
Method: DFT, PBE
State: relaxed

Lattice parameters (Å, degrees): 3.7698 4.1290 6.5722 90.00 90.00 90.00
Last column: nearest neighbours and their distance in Å.
Sites, in units of the cell vectors:
Sr  0.0000  0.5000  0.3206  8 Al 3.31-3.59
Al  0.0000  0.0000  0.8990  6 Al 2.77-2.81
Al  0.5000  0.0000  0.5907  4 Al 2.70-2.77
Al  0.5000  0.5000  0.8564  6 Al 2.70-2.81

Results
formation enthalpy at 0 K: -1.2 meV per atom

5.
Material: SrAl3
Method: DFT, PBE
State: relaxed

Lattice parameters (Å, degrees): 4.4083 3.2930 6.7555 77.18 90.00 90.00
Last column: nearest neighbours and their distance in Å.
Sites, in units of the cell vectors:
Sr  0.5000  0.2500  0.2500  2 Sr 3.29, 10 Al 3.41-3.53
Al  0.0000  0.9355  0.9301  4 Al 2.65-2.96
Al  0.5000  0.7500  0.7500  4 Al 2.65
Al  0.0000  0.5645  0.5699  4 Al 2.65-2.96

Results
formation enthalpy at 0 K: 17.9 meV per atom

6.
Material: Sr2Al3
Method: DFT, PBE
State: relaxed

Lattice parameters (Å, degrees): 9.0307 9.0307 9.0307 29.26 29.26 29.26
Last column: nearest neighbours and their distance in Å.
Sites, in units of the cell vectors:
Sr  0.4139  0.4139  0.4139  9 Al 3.36-3.55
Sr  0.5861  0.5861  0.5861  9 Al 3.36-3.55
Al  0.0000  0.0000  0.0000  6 Sr 3.36
Al  0.8389  0.8389  0.8389  3 Al 2.65
Al  0.1611  0.1611  0.1611  3 Al 2.65

Results
formation enthalpy at 0 K: -42.3 meV per atom

7.
Material: Sr5Al3
Method: DFT, PBE
State: relaxed

Lattice parameters (Å, degrees): 8.5554 8.5554 16.3888 90.00 90.00 90.00
Last column: nearest neighbours and their distance in Å.
Sites, in units of the cell vectors:
Sr  0.8189  0.8249  0.6053  5 Al 3.44-3.59
Sr  0.1811  0.8249  0.1053  5 Al 3.44-3.59
Sr  0.1751  0.8189  0.3947  5 Al 3.44-3.59
Sr  0.0000  0.5000  0.7447  4 Al 3.49
Sr  0.8249  0.1811  0.3947  5 Al 3.44-3.59
Sr  0.6811  0.6751  0.3947  5 Al 3.44-3.59
Sr  0.6751  0.3189  0.6053  5 Al 3.44-3.59
Sr  0.3249  0.6811  0.6053  5 Al 3.44-3.59
Sr  0.0000  0.5000  0.2447  4 Al 3.49
Sr  0.6751  0.6811  0.1053  5 Al 3.44-3.59
Sr  0.6811  0.3249  0.8947  5 Al 3.44-3.59
Sr  0.8249  0.8189  0.8947  5 Al 3.44-3.59
Sr  0.3189  0.3249  0.3947  5 Al 3.44-3.59
Sr  0.1811  0.1751  0.6053  5 Al 3.44-3.59
Sr  0.8189  0.1751  0.1053  5 Al 3.44-3.59
Sr  0.3189  0.6751  0.8947  5 Al 3.44-3.59
Sr  0.3249  0.3189  0.1053  5 Al 3.44-3.59
Sr  0.5000  0.0000  0.2553  4 Al 3.49
Sr  0.1751  0.1811  0.8947  5 Al 3.44-3.59
Sr  0.5000  0.0000  0.7553  4 Al 3.49
Al  0.6060  0.3940  0.2500  1 Al 2.57
Al  0.1060  0.8940  0.7500  1 Al 2.57
Al  0.3940  0.3940  0.7500  1 Al 2.57
Al  0.3940  0.6060  0.2500  1 Al 2.57
Al  0.8940  0.8940  0.2500  1 Al 2.57
Al  0.6060  0.6060  0.7500  1 Al 2.57
Al  0.0000  0.5000  0.5041  9 Sr 3.59-3.94
Al  0.8940  0.1060  0.7500  1 Al 2.57
Al  0.5000  0.0000  0.4959  9 Sr 3.59-3.94
Al  0.5000  0.0000  0.9959  9 Sr 3.59-3.94
Al  0.1060  0.1060  0.2500  1 Al 2.57
Al  0.0000  0.5000  0.0041  9 Sr 3.59-3.94

Results
formation enthalpy at 0 K: -119.7 meV per atom

8.
Material: SrAl
Method: DFT, PBE
State: relaxed

Lattice parameters (Å, degrees): 6.4014 6.2957 12.5184 90.00 90.00 90.00
Last column: nearest neighbours and their distance in Å.
Sites, in units of the cell vectors:
Sr  0.8269  0.1248  0.2282  7 Al 3.35-3.66, 1 Sr 3.66
Sr  0.3269  0.3752  0.7718  7 Al 3.35-3.66, 1 Sr 3.66
Sr  0.1731  0.6248  0.2718  7 Al 3.35-3.66, 1 Sr 3.66
Sr  0.6731  0.8752  0.7282  7 Al 3.35-3.66, 1 Sr 3.66
Sr  0.0903  0.8860  0.9276  7 Al 3.32-3.62, 1 Sr 3.66
Sr  0.5903  0.6140  0.0724  7 Al 3.32-3.62, 1 Sr 3.66
Sr  0.9097  0.3860  0.5724  7 Al 3.32-3.62, 1 Sr 3.66
Sr  0.4097  0.1140  0.4276  7 Al 3.32-3.62, 1 Sr 3.66
Al  0.3291  0.1249  0.1460  2 Al 2.69-2.70
Al  0.8291  0.3751  0.8540  2 Al 2.69-2.70
Al  0.6709  0.6249  0.3540  2 Al 2.69-2.70
Al  0.1709  0.8751  0.6460  2 Al 2.69-2.70
Al  0.4125  0.6222  0.5241  2 Al 2.69-2.70
Al  0.9125  0.8778  0.4759  2 Al 2.69-2.70
Al  0.5875  0.1222  0.9759  2 Al 2.69-2.70
Al  0.0875  0.3778  0.0241  2 Al 2.69-2.70

Results
formation enthalpy at 0 K: -171.0 meV per atom

9.
Material: Sr2Al3
Method: DFT, PBE
State: relaxed

Lattice parameters (Å, degrees): 6.7778 7.5993 10.9513 90.00 90.00 90.00
Last column: nearest neighbours and their distance in Å.
Sites, in units of the cell vectors:
Sr  0.1255  0.2059  0.9274  9 Al 3.33-3.66
Sr  0.3745  0.2941  0.4274  9 Al 3.33-3.66
Sr  0.8745  0.2059  0.5726  9 Al 3.33-3.66
Sr  0.6255  0.2941  0.0726  9 Al 3.33-3.66
Sr  0.8745  0.7941  0.0726  9 Al 3.33-3.66
Sr  0.6255  0.7059  0.5726  9 Al 3.33-3.66
Sr  0.1255  0.7941  0.4274  9 Al 3.33-3.66
Sr  0.3745  0.7059  0.9274  9 Al 3.33-3.66
Al  0.8381  0.5265  0.8215  3 Al 2.70-2.83
Al  0.6619  0.9735  0.3215  3 Al 2.70-2.83
Al  0.1619  0.5265  0.6785  3 Al 2.70-2.83
Al  0.3381  0.9735  0.1785  3 Al 2.70-2.83
Al  0.1619  0.4735  0.1785  3 Al 2.70-2.83
Al  0.3381  0.0265  0.6785  3 Al 2.70-2.83
Al  0.8381  0.4735  0.3215  3 Al 2.70-2.83
Al  0.6619  0.0265  0.8215  3 Al 2.70-2.83
Al  0.0000  0.8538  0.7500  4 Al 2.75-2.83
Al  0.5000  0.6462  0.2500  4 Al 2.75-2.83
Al  0.0000  0.1462  0.2500  4 Al 2.75-2.83
Al  0.5000  0.3538  0.7500  4 Al 2.75-2.83

Results
formation enthalpy at 0 K: -149.9 meV per atom

10.
Material: SrAl
Method: DFT, PBE
State: relaxed

Lattice parameters (Å, degrees): 6.4193 6.4193 5.4650 64.73 64.73 37.33
Last column: nearest neighbours and their distance in Å.
Sites, in units of the cell vectors:
Sr  0.2739  0.2739  0.2261  4 Sr 3.50-3.83, 8 Al 3.51-3.68
Sr  0.4761  0.4761  0.5239  4 Sr 3.50-3.83, 8 Al 3.51-3.68
Al  0.0479  0.0479  0.9518  2 Al 2.65
Al  0.7021  0.7021  0.7982  2 Al 2.65

Results
formation enthalpy at 0 K: -127.5 meV per atom

11.
Material: SrAl
Method: DFT, PBE
State: relaxed

Lattice parameters (Å, degrees): 5.5747 5.5747 5.5747 41.03 41.03 41.03
Last column: nearest neighbours and their distance in Å.
Sites, in units of the cell vectors:
Sr  0.5000  0.5000  0.5000  6 Al 3.40
Al  0.0000  0.0000  0.0000  6 Sr 3.40

Results
formation enthalpy at 0 K: 179.1 meV per atom

12.
Material: SrAl3
Method: DFT, PBE
State: relaxed

Lattice parameters (Å, degrees): 5.7868 5.7868 5.7868 90.00 90.00 90.00
Last column: nearest neighbours and their distance in Å.
Sites, in units of the cell vectors:
Sr  0.0000  0.0000  0.0000  12 Al 3.23
Sr  0.5000  0.5000  0.5000  12 Al 3.23
Al  0.7500  0.5000  0.0000  2 Al 2.89, 4 Sr 3.23
Al  0.2500  0.5000  0.0000  2 Al 2.89, 4 Sr 3.23
Al  0.0000  0.7500  0.5000  2 Al 2.89, 4 Sr 3.23
Al  0.0000  0.2500  0.5000  2 Al 2.89, 4 Sr 3.23
Al  0.5000  0.0000  0.2500  2 Al 2.89, 4 Sr 3.23
Al  0.5000  0.0000  0.7500  2 Al 2.89, 4 Sr 3.23

Results
formation enthalpy at 0 K: 215.4 meV per atom

Asked for DOS at the Fermi energy across the records above, the calculation gives 10.7; 21.5; 5.7; 2.1; 1.9; 4.1; 29.8; 10.5; 12.0; 2.3; 2.7; 4.0 states/eV per cell in order.